1.
LiYFeSn: optimized geometry, PBE.

Its energy above the lowest structure with this stoichiometry is 0.0 meV/atom.

The space group is F-43m (No. 216) and the conventional cell measures 6.628, 6.628 and 6.628 Å, with angles of 90.00, 90.00 and 90.00 degrees. The inequivalent atoms are Li at (0.000, 0.000, 0.000), Y at (0.250, 0.250, 0.750), Fe at (0.000, 0.000, 0.500) and Sn at (0.250, 0.250, 0.250).

=====

2.
Pr3Ni2Sn3Pt: optimized geometry, PBE.

The value obtained for the total energy is -5.566 eV per atom.

The space group is P-62m (No. 189) and the conventional cell measures 7.5063, 7.5063 and 4.1414 Å, with angles of 90.00, 90.00 and 120.00 degrees. The inequivalent atoms are Pr at (0.0000, 0.5845, 0.0000), Ni at (0.3333, 0.6667, 0.5000), Sn at (0.0000, 0.2566, 0.5000) and Pt at (0.0000, 0.0000, 0.0000).

=====

3.
DyZnGa: optimized geometry, PBE.

The value obtained for the total energy is -3.529 eV per atom.

The space group is P6_3/mmc (No. 194) and the conventional cell measures 4.3903, 4.3903 and 7.2672 Å, with angles of 90.00, 90.00 and 120.00 degrees. The inequivalent atoms are Dy at (0.0000, 0.0000, 0.0000), Zn at (0.3333, 0.6667, 0.2500) and Ga at (0.3333, 0.6667, 0.7500).

=====

4.
KGdCdS3: optimized geometry, PBE.

The value obtained for the total energy is -4.540 eV per atom.

The space group is Pnma (No. 62) and the conventional cell measures 11.871, 4.176 and 12.314 Å, with angles of 90.00, 90.00 and 90.00 degrees. The inequivalent atoms are K at (0.149, 0.250, 0.005), Gd at (0.038, 0.250, 0.339), Cd at (0.237, 0.250, 0.716), S at (0.050, 0.750, 0.182), S at (0.091, 0.250, 0.568) and S at (0.229, 0.750, 0.835).

=====

5.
Gd3ErW: optimized geometry, PBE.

For the calculated formation energy, the calculation gives 299 meV/atom.

The space group is P1 (No. 1) and the conventional cell measures 3.613, 6.508 and 6.514 Å, with angles of 86.35, 73.91 and 73.92 degrees. The inequivalent atoms are Gd at (0.000, 0.000, 0.000), Gd at (0.184, 0.482, 0.151), Gd at (0.525, 0.322, 0.629), Er at (0.340, 0.842, 0.482) and W at (0.761, 0.662, 0.816).

=====

6.
NaLuTe3Pb: optimized geometry, PBE.

Its energy above the lowest structure with this stoichiometry is 55.1 meV/atom.

The space group is P2_1/m (No. 11) and the conventional cell measures 8.314, 4.434 and 10.905 Å, with angles of 90.00, 106.34 and 90.00 degrees. The inequivalent atoms are Na at (0.089, 0.250, 0.090), Lu at (0.305, 0.750, 0.350), Te at (0.057, 0.250, 0.348), Te at (0.309, 0.750, 0.046), Te at (0.432, 0.750, 0.637) and Pb at (0.286, 0.250, 0.809).

=====

7.
KLuCdS3: optimized geometry, PBE.

Its energy above the lowest structure with this stoichiometry is 2.1 meV/atom.

The space group is Pnma (No. 62) and the conventional cell measures 10.623, 4.042 and 14.202 Å, with angles of 90.00, 90.00 and 90.00 degrees. The inequivalent atoms are K at (0.233, 0.250, 0.007), Lu at (0.014, 0.750, 0.256), Cd at (0.235, 0.750, 0.790), S at (0.028, 0.750, 0.869), S at (0.064, 0.250, 0.379) and S at (0.235, 0.250, 0.681).

=====

8.
CuAgAsPd: optimized geometry, PBE.

Its energy above the lowest structure with this stoichiometry is 0.0 meV/atom.

The space group is F-43m (No. 216) and the conventional cell measures 6.314, 6.314 and 6.314 Å, with angles of 90.00, 90.00 and 90.00 degrees. The inequivalent atoms are Cu at (0.000, 0.000, 0.000), Ag at (0.250, 0.250, 0.250), As at (0.250, 0.250, 0.750) and Pd at (0.000, 0.000, 0.500).

=====

9.
RbZrAu: optimized geometry, PBE.

Its energy above the lowest structure with this stoichiometry is 640.7 meV/atom.

The space group is F-43m (No. 216) and the conventional cell measures 6.970, 6.970 and 6.970 Å, with angles of 90.00, 90.00 and 90.00 degrees. The inequivalent atoms are Rb at (0.000, 0.000, 0.000), Zr at (0.250, 0.250, 0.250) and Au at (0.250, 0.250, 0.750).

=====

10.
Ni6SnSb: optimized geometry, PBE.

The value obtained for the total energy is -5.379 eV per atom.

The space group is P4/mmm (No. 123) and the conventional cell measures 3.721, 3.721 and 7.446 Å, with angles of 90.00, 90.00 and 90.00 degrees. The inequivalent atoms are Ni at (0.000, 0.000, 0.000), Ni at (0.000, 0.000, 0.500), Ni at (0.000, 0.500, 0.248), Sn at (0.500, 0.500, 0.500) and Sb at (0.500, 0.500, 0.000).

=====

11.
NbCoCuB: optimized geometry, PBE.

Its energy above the lowest structure with this stoichiometry is 0.0 meV/atom.

The space group is F-43m (No. 216) and the conventional cell measures 5.692, 5.692 and 5.692 Å, with angles of 90.00, 90.00 and 90.00 degrees. The inequivalent atoms are Nb at (0.000, 0.000, 0.000), Co at (0.000, 0.000, 0.500), Cu at (0.250, 0.250, 0.750) and B at (0.250, 0.250, 0.250).

=====

12.
Hf2Zr4In3C3: optimized geometry, PBE.

The value obtained for the total energy is -8.201 eV per atom.

The space group is C2/c (No. 15) and the conventional cell measures 10.070, 5.816 and 15.387 Å, with angles of 90.00, 102.60 and 90.00 degrees. The inequivalent atoms are Hf at (0.057, 0.084, 0.420), Zr at (0.111, 0.418, 0.583), Zr at (0.222, 0.416, 0.917), In at (0.000, 0.410, 0.250), In at (0.164, 0.082, 0.750), C at (0.082, 0.246, 0.000) and C at (0.250, 0.250, 0.500).

=====

13.
Ho2TmZn3CuPt2: optimized geometry, PBE.

For the calculated formation energy, the calculation gives -795 meV/atom.

The space group is Amm2 (No. 38) and the conventional cell measures 3.758, 12.533 and 7.259 Å, with angles of 90.00, 90.00 and 90.00 degrees. The inequivalent atoms are Ho at (0.000, 0.205, 0.000), Tm at (0.000, 0.000, 0.613), Zn at (0.500, 0.000, 0.961), Zn at (0.500, 0.122, 0.327), Cu at (0.000, 0.000, 0.206) and Pt at (0.500, 0.165, 0.704).

=====

14.
Pr3Mg4Ge4: optimized geometry, PBE.

The value obtained for the total energy is -4.080 eV per atom.

The space group is Immm (No. 71) and the conventional cell measures 4.306, 4.467 and 26.974 Å, with angles of 90.00, 90.00 and 90.00 degrees. The inequivalent atoms are Pr at (0.000, 0.000, 0.000), Pr at (0.000, 0.500, 0.142), Mg at (0.000, 0.000, 0.251), Mg at (0.000, 0.500, 0.406), Ge at (0.000, 0.000, 0.454) and Ge at (0.000, 0.500, 0.311).

=====

15.
LiZr3Si5: optimized geometry, PBE.

The value obtained for the total energy is -6.038 eV per atom.

The space group is P6/mmm (No. 191) and the conventional cell measures 5.8426, 5.8426 and 6.6402 Å, with angles of 90.00, 90.00 and 120.00 degrees. The inequivalent atoms are Li at (0.0000, 0.0000, 0.0000), Zr at (0.0000, 0.5000, 0.5000), Si at (0.0000, 0.0000, 0.5000) and Si at (0.3333, 0.6667, 0.1706).

=====

16.
Ho2Sc2SbAs: optimized geometry, PBE.

The value obtained for the total energy is -5.994 eV per atom.

The space group is I4mm (No. 107) and the conventional cell measures 4.229, 4.229 and 15.900 Å, with angles of 90.00, 90.00 and 90.00 degrees. The inequivalent atoms are Ho at (0.000, 0.000, 0.000), Ho at (0.000, 0.000, 0.356), Sc at (0.000, 0.500, 0.167), Sb at (0.000, 0.000, 0.804) and As at (0.000, 0.000, 0.543).

=====

17.
GdTmSnC: optimized geometry, PBE.

Its energy above the lowest structure with this stoichiometry is 0.0 meV/atom.

The space group is P-3m1 (No. 164) and the conventional cell measures 3.6098, 3.6098 and 15.8828 Å, with angles of 90.00, 90.00 and 120.00 degrees. The inequivalent atoms are Gd at (0.3333, 0.6667, 0.0865), Tm at (0.3333, 0.6667, 0.4178), Sn at (0.3333, 0.6667, 0.7452), C at (0.0000, 0.0000, 0.0000) and C at (0.0000, 0.0000, 0.5000).

=====

18.
DyCdInTe3: optimized geometry, PBE.

Its energy above the lowest structure with this stoichiometry is 52.8 meV/atom.

The space group is Pnma (No. 62) and the conventional cell measures 13.095, 4.535 and 13.281 Å, with angles of 90.00, 90.00 and 90.00 degrees. The inequivalent atoms are Dy at (0.031, 0.250, 0.176), Cd at (0.244, 0.750, 0.303), In at (0.165, 0.250, 0.497), Te at (0.029, 0.750, 0.344), Te at (0.088, 0.250, 0.935) and Te at (0.234, 0.750, 0.672).

=====

19.
HfSc2Ni: optimized geometry, PBE.

For the calculated formation energy, the calculation gives 92 meV/atom. Its energy above the lowest structure with this stoichiometry is 114.1 meV/atom.

The space group is F-43m (No. 216) and the conventional cell measures 6.715, 6.715 and 6.715 Å, with angles of 90.00, 90.00 and 90.00 degrees. The inequivalent atoms are Hf at (0.000, 0.000, 0.000), Sc at (0.000, 0.000, 0.500), Sc at (0.250, 0.250, 0.250) and Ni at (0.250, 0.250, 0.750).

=====

20.
NpSe2BrCl: optimized geometry, PBE.

The value obtained for the total energy is -5.755 eV per atom.

The space group is P-1 (No. 2) and the conventional cell measures 7.076, 7.292 and 7.773 Å, with angles of 67.97, 69.43 and 62.03 degrees. The inequivalent atoms are Np at (0.146, 0.199, 0.499), Se at (0.072, 0.590, 0.189), Se at (0.248, 0.463, 0.627), Br at (0.421, 0.839, 0.742) and Cl at (0.161, 0.976, 0.279).

=====

21.
TbGd2Mg3Ga3: optimized geometry, PBE.

The value obtained for the total energy is -3.576 eV per atom.

The space group is Amm2 (No. 38) and the conventional cell measures 4.457, 12.660 and 7.324 Å, with angles of 90.00, 90.00 and 90.00 degrees. The inequivalent atoms are Tb at (0.000, 0.000, 0.000), Gd at (0.000, 0.213, 0.639), Mg at (0.500, 0.000, 0.669), Mg at (0.500, 0.122, 0.304), Ga at (0.000, 0.000, 0.425) and Ga at (0.500, 0.166, 0.926).

=====

22.
ZrCoSi: optimized geometry, PBE.

The value obtained for the total energy is -7.883 eV per atom.

The space group is Pnma (No. 62) and the conventional cell measures 6.463, 3.850 and 7.137 Å, with angles of 90.00, 90.00 and 90.00 degrees. The inequivalent atoms are Zr at (0.008, 0.250, 0.192), Co at (0.145, 0.250, 0.569) and Si at (0.216, 0.750, 0.395).